No. 1
Below is a geometry-optimized Tm3Np2Ru4 structure, with properties calculated at the GGA-PBE level.

Cell lengths 5.6653, 5.6653, 8.7892 Å; angles 98.51, 98.51, 43.67 degrees
Element x y z (fractional)
Tm 0.0000 0.0000 0.0000
Tm 0.3750 0.3750 0.6097
Tm 0.6250 0.6250 0.3903
Np 0.3272 0.3272 0.2188
Np 0.6728 0.6728 0.7812
Ru 0.0897 0.0897 0.6330
Ru 0.2840 0.2840 0.9054
Ru 0.7160 0.7160 0.0946
Ru 0.9103 0.9103 0.3670

* density: 11.96 g cm⁻³
* crystal system: monoclinic
* space-group type: No. 12
* size of the total moment: 5.2 μB per formula unit

No. 2
Below is a geometry-optimized Pr6PIr2Cl3 structure, with properties calculated at the GGA-PBE level.

Cell lengths 7.2751, 7.2751, 7.8104 Å; angles 98.86, 98.86, 119.97 degrees
Element x y z (fractional)
Pr 0.0884 0.4309 0.7924
Pr 0.2259 0.2259 0.2072
Pr 0.4309 0.0884 0.7924
Pr 0.5691 0.9116 0.2076
Pr 0.7741 0.7741 0.7928
Pr 0.9116 0.5691 0.2076
P 0.5000 0.5000 0.0000
Ir 0.1670 0.8330 0.0000
Ir 0.8330 0.1670 0.0000
Cl 0.0000 0.0000 0.5000
Cl 0.3388 0.6612 0.5000
Cl 0.6612 0.3388 0.5000

* density: 6.66 g cm⁻³
* crystal system: monoclinic
* formation energy from raw total energies: -1.29 eV per atom
* space-group type: No. 12
* size of the total moment: 0.0 μB per formula unit

No. 3
Below is a geometry-optimized PdRh2Au2 structure, with properties calculated at the GGA-PBE level.

Cell lengths 7.6987, 7.6987, 2.8667 Å; angles 90.00, 90.00, 90.00 degrees
Element x y z (fractional)
Pd 0.0000 0.0000 0.0000
Pd 0.5000 0.5000 0.0000
Rh 0.1202 0.3798 0.0000
Rh 0.3798 0.8798 0.0000
Rh 0.6202 0.1202 0.0000
Rh 0.8798 0.6202 0.0000
Au 0.1784 0.6784 0.5000
Au 0.3216 0.1784 0.5000
Au 0.6784 0.8216 0.5000
Au 0.8216 0.3216 0.5000

* density: 13.80 g cm⁻³
* crystal system: tetragonal
* space-group type: No. 127
* size of the total moment: 0.0 μB per formula unit

No. 4
Below is a geometry-optimized ZnCrPt2 structure, with properties calculated at the GGA-PBE level.

Cell lengths 2.8689, 4.5050, 4.5839 Å; angles 90.00, 90.00, 90.00 degrees
Element x y z (fractional)
Zn 0.0000 0.0000 0.0000
Cr 0.0000 0.5000 0.5777
Pt 0.5000 0.0000 0.5048
Pt 0.5000 0.5000 0.0800

* density: 14.23 g cm⁻³
* crystal system: orthorhombic
* space-group type: No. 25
* size of the total moment: 3.3 μB per formula unit

No. 5
Below is a geometry-optimized LiIN2O structure, with properties calculated at the GGA-PBE level.

Cell lengths 4.0028, 4.0028, 4.9280 Å; angles 90.00, 90.00, 90.00 degrees
Element x y z (fractional)
Li 0.0000 0.0000 0.0000
I 0.5000 0.5000 0.0000
N 0.0000 0.5000 0.5000
N 0.5000 0.0000 0.5000
O 0.5000 0.5000 0.5000

* density: 3.74 g cm⁻³
* crystal system: tetragonal
* formation energy from raw total energies: 1.74 eV per atom
* space-group type: No. 123
* size of the total moment: 3.5 μB per formula unit

No. 6
Below is a geometry-optimized La2PrSm2Er structure, with properties calculated at the GGA-PBE level.

Cell lengths 7.1599, 5.7918, 10.0061 Å; angles 90.00, 90.00, 90.00 degrees
Element x y z (fractional)
La 0.0000 0.0000 0.0000
La 0.2500 0.5000 0.1767
La 0.5000 0.0000 0.0000
La 0.7500 0.5000 0.8233
Pr 0.2500 0.0000 0.6589
Pr 0.7500 0.0000 0.3411
Sm 0.2500 0.0000 0.3327
Sm 0.2500 0.5000 0.8350
Sm 0.7500 0.0000 0.6673
Sm 0.7500 0.5000 0.1650
Er 0.0000 0.5000 0.5000
Er 0.5000 0.5000 0.5000

* density: 7.10 g cm⁻³
* crystal system: orthorhombic
* space-group type: No. 51
* size of the total moment: 0.0 μB per formula unit

No. 7
Below is a geometry-optimized KZn2OsO6 structure, with properties calculated at the GGA-PBE level.

Cell lengths 7.3382, 7.3382, 6.8796 Å; angles 107.68, 107.68, 93.62 degrees
Element x y z (fractional)
K 0.1730 0.8270 0.7500
K 0.8270 0.1730 0.2500
Zn 0.3501 0.4038 0.8025
Zn 0.4038 0.3501 0.3025
Zn 0.5962 0.6499 0.6975
Zn 0.6499 0.5962 0.1975
Os 0.1741 0.8259 0.2500
Os 0.8259 0.1741 0.7500
O 0.0384 0.2066 0.6822
O 0.1448 0.6323 0.0113
O 0.2066 0.0384 0.1822
O 0.3138 0.4495 0.5376
O 0.3677 0.8552 0.4887
O 0.4495 0.3138 0.0376
O 0.5505 0.6862 0.9624
O 0.6323 0.1448 0.5113
O 0.6862 0.5505 0.4624
O 0.7934 0.9616 0.8178
O 0.8552 0.3677 0.9887
O 0.9616 0.7934 0.3178

* density: 4.57 g cm⁻³
* crystal system: monoclinic
* formation energy from raw total energies: -1.12 eV per atom
* space-group type: No. 15
* size of the total moment: 1.0 μB per formula unit

No. 8
Below is a geometry-optimized Ga4Si structure, with properties calculated at the GGA-PBE level.

Cell lengths 4.8632, 4.8632, 4.8632 Å; angles 90.00, 90.00, 90.00 degrees
Element x y z (fractional)
Ga 0.0000 0.0000 0.0000
Ga 0.0000 0.5000 0.5000
Ga 0.5000 0.0000 0.5000
Ga 0.5000 0.5000 0.0000
Si 0.5000 0.5000 0.5000

* density: 4.43 g cm⁻³
* crystal system: cubic
* formation energy from raw total energies: 0.37 eV per atom
* space-group type: No. 221
* size of the total moment: 0.0 μB per formula unit

Listing uncorrected energy for the structures above in their given order: -8.789, -6.068, -4.909, -6.060, -3.275, -4.718, -5.578, -3.132 eV per atom.